#i
BeCrPd3 | PBE-GGA | relaxed

Structure (POSCAR):
```
BeCrPd3
1.0
-0.518 0.171 -4.146
1.743 -3.782 -0.374
-3.765 -1.774 0.397
Cr Pd Be
1 3 1
Direct
0.500 0.500 0.500
0.000 0.500 0.000
0.000 0.000 0.500
0.500 0.000 0.000
0.000 0.000 0.000
```

Output
SG   Pm-3m (221)
Magnetization   0.56 μB per formula unit



#ii
BeCrPd3 | PBE-GGA | relaxed

Structure (POSCAR):
```
BeCrPd3
1.0
-2.316 3.808 -0.823
-3.799 -1.995 1.459
0.864 1.435 4.211
Cr Pd Be
1 3 1
Direct
0.000 0.000 0.000
0.000 0.500 0.000
0.000 0.000 0.500
0.500 0.000 0.000
0.500 0.500 0.500
```

Output
SG   Pm-3m (221)
Magnetization   0.00 μB per formula unit



The data favor #i; the next most stable structure lies 0.806 eV/atom above it.



#i
Be2CrPt2 | PBE-GGA | relaxed

Structure (POSCAR):
```
Be2CrPt2
1.0
-6.416 -1.826 -0.615
1.725 -6.396 1.000
-0.354 0.329 2.717
Cr Pt Be
2 4 4
Direct
0.000 0.000 0.000
0.500 0.500 0.000
0.172 0.672 0.500
0.672 0.828 0.500
0.828 0.328 0.500
0.328 0.172 0.500
0.377 0.877 0.000
0.877 0.623 0.000
0.623 0.123 0.000
0.123 0.377 0.000
```

Output
SG   P4/mbm (127)
Magnetization   3.59 μB per formula unit



#ii
Be2CrPt2 | PBE-GGA | relaxed

Structure (POSCAR):
```
Be2CrPt2
1.0
3.812 0.000 0.000
0.000 3.812 0.000
1.906 1.906 4.471
Cr Pt Be
1 2 2
Direct
0.000 0.000 0.000
0.750 0.250 0.500
0.250 0.750 0.500
0.385 0.385 0.231
0.615 0.615 0.769
```

Output
SG   I4/mmm (139)
Magnetization   0.45 μB per formula unit



#iii
Be2CrPt2 | PBE-GGA | relaxed

Structure (POSCAR):
```
Be2CrPt2
1.0
-5.520 1.153 3.876
-3.241 -5.183 -3.074
0.937 -1.673 1.832
Cr Pt Be
2 4 4
Direct
0.000 0.000 0.000
0.500 0.500 0.000
0.356 0.856 0.000
0.856 0.644 0.000
0.644 0.144 0.000
0.144 0.356 0.000
0.155 0.655 0.500
0.655 0.845 0.500
0.845 0.345 0.500
0.345 0.155 0.500
```

Output
SG   P4/mbm (127)
Magnetization   0.02 μB per formula unit



The data favor #i; the next most stable structure lies 0.273 eV/atom above it.



#i
Be2Cr2Pt | PBE-GGA | relaxed

Structure (POSCAR):
```
Be2Cr2Pt
1.0
-1.616 1.616 5.402
1.616 -1.616 5.402
1.616 1.616 -5.402
Be Cr Pt
2 2 1
Direct
0.592 0.592 0.000
0.408 0.408 0.000
0.250 0.750 0.500
0.750 0.250 0.500
0.000 0.000 0.000
```

Output
SG   I4/mmm (139)
Magnetization   0.00 μB per formula unit



#ii
Be2Cr2Pt | PBE-GGA | relaxed

Structure (POSCAR):
```
Be2Cr2Pt
1.0
5.961 0.000 0.000
0.000 5.961 0.000
0.000 0.000 3.154
Cr Pt Be
4 2 4
Direct
0.168 0.668 0.500
0.668 0.832 0.500
0.832 0.332 0.500
0.332 0.168 0.500
0.000 0.000 0.000
0.500 0.500 0.000
0.375 0.875 0.000
0.875 0.625 0.000
0.625 0.125 0.000
0.125 0.375 0.000
```

Output
SG   P4/mbm (127)
Magnetization   3.57 μB per formula unit



The data favor #ii; the next most stable structure lies 0.240 eV/atom above it.